Computed, not measured: a relaxed structure of CuAgPb2 at the PBE level of DFT.

Cell: 3.5025 3.5025 26.3621 Å, 90.00 90.00 120.00°
Last column: nearest neighbours and their distance in Å.
Space group R-3m (No. 166, hexagonal axes)
Inequivalent atoms, fractional coordinates:
1 Cu 0.0000 0.0000 0.0000 (multiplicity 3)  6 Pb 2.86
2 Ag 0.0000 0.0000 0.5000 (multiplicity 3)  6 Pb 3.11
3 Pb 0.0000 0.0000 0.2564 (multiplicity 6)  3 Cu 2.86, 3 Ag 3.11

VASP energy, eV per atom: -3.364
Magnetization, μB/f.u.: 0.00
ΔE_f, eV per atom: 0.23
Excess energy over the best structure of this formula in the dataset, meV/atom: 89.8